Record 1
# Mg2MnB2Ir5

A geometry-optimized Mg2MnB2Ir5 structure (PBE, the Alexandria database).

a b c (Å): 9.492 9.492 2.926
angles (deg): 90.00 90.00 90.00
Element x y z (fractional)
Mg 0.177 0.323 0.000
Mg 0.323 0.823 0.000
Mg 0.677 0.177 0.000
Mg 0.823 0.677 0.000
Mn 0.000 0.000 0.000
Mn 0.500 0.500 0.000
B 0.125 0.625 0.000
B 0.375 0.125 0.000
B 0.625 0.875 0.000
B 0.875 0.375 0.000
Ir 0.000 0.500 0.500
Ir 0.070 0.785 0.500
Ir 0.215 0.070 0.500
Ir 0.285 0.570 0.500
Ir 0.430 0.285 0.500
Ir 0.500 0.000 0.500
Ir 0.570 0.715 0.500
Ir 0.715 0.430 0.500
Ir 0.785 0.930 0.500
Ir 0.930 0.215 0.500

Magnetization (μB per formula unit): 3.3
DOS at the Fermi energy (states/eV per cell): 7.2
ΔE_f (meV/atom): -434
Space group: P4/mbm


Record 2
# KRh2W

A geometry-optimized KRh2W structure (PBE, the Alexandria database).

a b c (Å): 4.562 4.562 4.562
angles (deg): 60.00 60.00 60.00
Element x y z (fractional)
K 0.000 0.000 0.000
Rh 0.500 0.500 0.500
Rh 0.750 0.750 0.750
W 0.250 0.250 0.250

Magnetization (μB per formula unit): 0.0
DOS at the Fermi energy (states/eV per cell): 4.3
Relative energy among the computed polymorphs (eV/f.u.): 4.15
ΔE_f (meV/atom): 1274
Space group: F-43m


Record 3
# KMg2Si

A geometry-optimized KMg2Si structure (PBE, the Alexandria database).

a b c (Å): 6.518 6.518 6.518
angles (deg): 150.23 129.78 59.48
Element x y z (fractional)
K 0.000 0.000 0.000
Mg 0.300 0.800 0.500
Mg 0.565 0.565 0.000
Si 0.750 0.250 0.500

Magnetization (μB per formula unit): 0.0
DOS at the Fermi energy (states/eV per cell): 2.1
Space group: Imm2
Uncorrected formation energy (meV/atom): 339


Record 4
# TePCl2F

A geometry-optimized TePCl2F structure (PBE, the Alexandria database).

a b c (Å): 4.598 4.598 5.582
angles (deg): 90.00 90.00 90.00
Element x y z (fractional)
Te 0.000 0.000 0.000
P 0.000 0.000 0.500
Cl 0.000 0.500 0.500
Cl 0.500 0.000 0.500
F 0.500 0.500 0.000

Magnetization (μB per formula unit): 1.9
DOS at the Fermi energy (states/eV per cell): 1.2
Relative energy among the computed polymorphs (eV/f.u.): 0.00
Space group: P4/mmm
Uncorrected formation energy (meV/atom): -62


Record 5
# ZrScTa2Al

A geometry-optimized ZrScTa2Al structure (PBE, the Alexandria database).

a b c (Å): 4.812 4.812 4.977
angles (deg): 90.00 90.00 90.00
Element x y z (fractional)
Zr 0.000 0.000 0.000
Sc 0.500 0.500 0.000
Ta 0.000 0.500 0.500
Ta 0.500 0.000 0.500
Al 0.000 0.000 0.500

Magnetization (μB per formula unit): 0.0
DOS at the Fermi energy (states/eV per cell): 6.0
ΔE_f (meV/atom): 899
Space group: P4/mmm


Record 6
# KCrCl2

A geometry-optimized KCrCl2 structure (PBE, the Alexandria database).

a b c (Å): 4.261 4.261 7.750
angles (deg): 90.00 90.00 122.81
Element x y z (fractional)
K 0.000 0.000 0.000
Cr 0.000 0.000 0.500
Cl 0.500 0.500 0.286
Cl 0.500 0.500 0.714

Magnetization (μB per formula unit): 5.0
DOS at the Fermi energy (states/eV per cell): 1.8
Relative energy among the computed polymorphs (eV/f.u.): 0.59
Space group: Cmmm
Uncorrected formation energy (meV/atom): -842


Record 7
# SrPrAg

A geometry-optimized SrPrAg structure (PBE, the Alexandria database).

a b c (Å): 5.347 5.347 5.347
angles (deg): 60.00 60.00 60.00
Element x y z (fractional)
Sr 0.000 0.000 0.000
Pr 0.500 0.500 0.500
Ag 0.750 0.750 0.750

Magnetization (μB per formula unit): 0.0
DOS at the Fermi energy (states/eV per cell): 4.8
Relative energy among the computed polymorphs (eV/f.u.): 0.47
ΔE_f (meV/atom): 47
Space group: F-43m


Record 8
# ThMnGe

A geometry-optimized ThMnGe structure (PBE, the Alexandria database).

a b c (Å): 4.327 4.327 3.999
angles (deg): 90.00 90.00 120.00
Element x y z (fractional)
Th 0.000 0.000 0.000
Mn 0.333 0.667 0.500
Ge 0.667 0.333 0.500

Magnetization (μB per formula unit): 3.2
DOS at the Fermi energy (states/eV per cell): 5.3
ΔE_f (meV/atom): -355
Space group: P-6m2


Record 9
# Sm3Te3As

A geometry-optimized Sm3Te3As structure (PBE, the Alexandria database).

a b c (Å): 11.459 11.459 11.459
angles (deg): 40.13 40.13 40.13
Element x y z (fractional)
Sm 0.063 0.443 0.823
Sm 0.177 0.937 0.557
Sm 0.443 0.823 0.063
Sm 0.557 0.177 0.937
Sm 0.823 0.063 0.443
Sm 0.937 0.557 0.177
Te 0.100 0.692 0.396
Te 0.308 0.604 0.900
Te 0.396 0.100 0.692
Te 0.604 0.900 0.308
Te 0.692 0.396 0.100
Te 0.900 0.308 0.604
As 0.167 0.167 0.167
As 0.833 0.833 0.833

Magnetization (μB per formula unit): 0.0
Space group: R-3
Uncorrected formation energy (meV/atom): -1196


Record 10
# Nb2Tl2Hg

A geometry-optimized Nb2Tl2Hg structure (PBE, the Alexandria database).

a b c (Å): 7.553 7.553 3.966
angles (deg): 90.00 90.00 90.00
Element x y z (fractional)
Nb 0.120 0.380 0.000
Nb 0.380 0.880 0.000
Nb 0.620 0.120 0.000
Nb 0.880 0.620 0.000
Tl 0.179 0.679 0.500
Tl 0.321 0.179 0.500
Tl 0.679 0.821 0.500
Tl 0.821 0.321 0.500
Hg 0.000 0.000 0.000
Hg 0.500 0.500 0.000

Magnetization (μB per formula unit): 0.0
DOS at the Fermi energy (states/eV per cell): 3.0
Relative energy among the computed polymorphs (eV/f.u.): 0.00
ΔE_f (meV/atom): 399
Space group: P4/mbm